# 1
Entry from Alexandria via LeMat-Bulk: CaZn2Fe after structural relaxation (PBE).

The space group is Pmm2 (No. 25) and the conventional cell measures 3.003, 3.588 and 6.760 Å, with angles of 90.00, 90.00 and 90.00 degrees. The inequivalent atoms are Ca at (0.000, 0.000, 0.000), Zn at (0.000, 0.000, 0.459), Zn at (0.500, 0.500, 0.681) and Fe at (0.500, 0.500, 0.300).

As for the formation energy from the elements: 0.172 eV per atom. The value obtained for the density of states at the Fermi level is 4.07 states/eV/cell.


# 2
Entry from Alexandria via LeMat-Bulk: Ho6Zn3Cu after structural relaxation (PBE).

The space group is P2_1/m (No. 11) and the conventional cell measures 9.148, 4.949 and 11.288 Å, with angles of 90.00, 110.57 and 90.00 degrees. The inequivalent atoms are Ho at (0.019, 0.250, 0.397), Ho at (0.156, 0.750, 0.186), Ho at (0.232, 0.250, 0.010), Ho at (0.369, 0.750, 0.850), Ho at (0.370, 0.250, 0.638), Ho at (0.386, 0.250, 0.355), Zn at (0.039, 0.750, 0.883), Zn at (0.119, 0.250, 0.732), Zn at (0.261, 0.750, 0.476) and Cu at (0.423, 0.750, 0.118).

As for the formation energy from the elements: -0.205 eV per atom. The value obtained for the density of states at the Fermi level is 17.05 states/eV/cell.


# 3
Entry from Alexandria via LeMat-Bulk: TaSbH2 after structural relaxation (PBE).

The space group is Cm (No. 8) and the conventional cell measures 5.891, 3.404 and 5.309 Å, with angles of 90.00, 111.74 and 90.00 degrees. The inequivalent atoms are Ta at (0.000, 0.000, 0.000), Sb at (0.303, 0.500, 0.410), H at (0.115, 0.500, 0.852) and H at (0.312, 0.000, 0.939).

The value obtained for the total DFT energy (no corrections) is -5.71 eV per atom. The value obtained for the density of states at the Fermi level is 1.74 states/eV/cell.


# 4
Entry from Alexandria via LeMat-Bulk: HoEr after structural relaxation (PBE).

The space group is Pmma (No. 51) and the conventional cell measures 5.552, 3.589 and 6.215 Å, with angles of 90.00, 90.00 and 90.00 degrees. The inequivalent atoms are Ho at (0.250, 0.000, 0.167) and Er at (0.250, 0.500, 0.667).

As for the formation energy from the elements: 0.000 eV per atom. The value obtained for the density of states at the Fermi level is 6.09 states/eV/cell.


# 5
Entry from Alexandria via LeMat-Bulk: Y3As after structural relaxation (PBE).

The space group is P6_3/mmc (No. 194) and the conventional cell measures 6.5592, 6.5592 and 10.8905 Å, with angles of 90.00, 90.00 and 120.00 degrees. The inequivalent atoms are Y at (0.0000, 0.5000, 0.0000), Y at (0.1613, 0.3227, 0.2500), As at (0.0000, 0.0000, 0.0000) and As at (0.3333, 0.6667, 0.7500).

As for the formation energy from the elements: -0.370 eV per atom. The value obtained for the density of states at the Fermi level is 23.23 states/eV/cell.


# 6
Entry from Alexandria via LeMat-Bulk: CePm2Pt after structural relaxation (PBE).

The space group is P4/mmm (No. 123) and the conventional cell measures 3.622, 3.622 and 8.516 Å, with angles of 90.00, 90.00 and 90.00 degrees. The inequivalent atoms are Ce at (0.000, 0.000, 0.000), Pm at (0.500, 0.500, 0.300) and Pt at (0.000, 0.000, 0.500).

As for the formation energy from the elements: -0.461 eV per atom. The value obtained for the density of states at the Fermi level is 7.66 states/eV/cell.